1.
SbAsPd3 | GGA-PBE | optimized geometry

Structure (POSCAR):
```
SbAsPd3
1.0
4.7539 0.0000 0.0000
2.3079 6.3421 0.0000
2.3670 2.2281 6.1286
Sb As Pd
2 2 6
direct
0.1120 0.0812 0.1948
0.8880 0.9188 0.8052
0.4107 0.3529 0.3328
0.5893 0.6471 0.6672
0.1601 0.6575 0.5146
0.2887 0.1761 0.7527
0.3728 0.7184 0.0316
0.6272 0.2816 0.9684
0.7113 0.8239 0.2473
0.8399 0.3425 0.4854
```

Output
The value obtained for the uncorrected formation energy is -370.2 meV/atom. The calculation puts the calculated volume at 184.8 Å³ per cell. The calculation puts the excess energy over the best structure of this formula in the dataset at 0 meV per atom. The calculation puts the size of the total moment at 0.00 Bohr magnetons per cell.

=====

2.
SmY2In2 | GGA-PBE | optimized geometry

Structure (POSCAR):
```
SmY2In2
1.0
2.6947 -8.1016 0.0000
2.6947 8.1016 0.0000
0.0000 0.0000 6.5657
Sm Y In
2 4 4
direct
0.0964 0.9036 0.5000
0.9036 0.0964 0.0000
0.3011 0.6989 0.7300
0.4724 0.5276 0.3135
0.5276 0.4724 0.8135
0.6989 0.3011 0.2300
0.1050 0.8950 0.0126
0.2871 0.7129 0.2189
0.7129 0.2871 0.7189
0.8950 0.1050 0.5126
```

Output
Its calculated formation energy is -8.035 kcal/mol of atoms. The calculation puts the calculated volume at 286.7 Å³ per cell. The calculation puts the excess energy over the best structure of this formula in the dataset at 50 meV per atom. The calculation puts the size of the total moment at 0.00 Bohr magnetons per cell.

=====

3.
Zn2WSe | GGA-PBE | optimized geometry

Structure (POSCAR):
```
Zn2WSe
1.0
3.3291 0.0000 0.0000
0.0000 3.3291 0.0000
0.0000 0.0000 5.7278
Zn W Se
2 1 1
direct
0.0000 0.0000 0.0000
0.5000 0.5000 0.2214
0.5000 0.5000 0.7398
0.0000 0.0000 0.5154
```

Output
The value obtained for the uncorrected formation energy is 260.0 meV/atom. The calculation puts the calculated volume at 63.5 Å³ per cell. The calculation puts the size of the total moment at 0.00 Bohr magnetons per cell.

=====

4.
ZnSn2Au2 | GGA-PBE | optimized geometry

Structure (POSCAR):
```
ZnSn2Au2
1.0
8.0392 0.0000 0.0000
0.0000 8.0392 0.0000
0.0000 0.0000 3.5528
Zn Sn Au
2 4 4
direct
0.0000 0.0000 0.0000
0.5000 0.5000 0.0000
0.1779 0.3221 0.0000
0.3221 0.8221 0.0000
0.6779 0.1779 0.0000
0.8221 0.6779 0.0000
0.1250 0.6250 0.5000
0.3750 0.1250 0.5000
0.6250 0.8750 0.5000
0.8750 0.3750 0.5000
```

Output
Its calculated formation energy is 1.163 kcal/mol of atoms. The calculation puts the calculated volume at 229.6 Å³ per cell. The calculation puts the excess energy over the best structure of this formula in the dataset at 175 meV per atom. The calculation puts the size of the total moment at 0.00 Bohr magnetons per cell.

=====

5.
Mg2SnTe | GGA-PBE | optimized geometry

Structure (POSCAR):
```
Mg2SnTe
1.0
0.0000 3.6816 3.6816
3.6816 0.0000 3.6816
3.6816 3.6816 0.0000
Mg Sn Te
2 1 1
direct
0.2500 0.2500 0.2500
0.7500 0.7500 0.7500
0.0000 0.0000 0.0000
0.5000 0.5000 0.5000
```

Output
The value obtained for the uncorrected formation energy is -103.9 meV/atom. The calculation puts the calculated volume at 99.8 Å³ per cell. The calculation puts the excess energy over the best structure of this formula in the dataset at 49 meV per atom. The calculation puts the size of the total moment at 0.00 Bohr magnetons per cell.

=====

6.
PmGeSe3 | GGA-PBE | optimized geometry

Structure (POSCAR):
```
PmGeSe3
1.0
7.9612 0.0000 0.0000
0.0000 6.9609 0.0000
0.0000 0.0000 9.7793
Pm Ge Se
4 4 12
direct
0.1216 0.0776 0.0000
0.3784 0.5776 0.5000
0.6216 0.4224 0.0000
0.8784 0.9224 0.5000
0.1939 0.6039 0.1251
0.3061 0.1039 0.6251
0.6939 0.8961 0.1251
0.8061 0.3961 0.6251
0.0882 0.2903 0.5011
0.1534 0.8068 0.6933
0.1746 0.8227 0.3218
0.3254 0.3227 0.8218
0.3466 0.3068 0.1933
0.4118 0.7903 0.0011
0.5882 0.2097 0.5011
0.6534 0.6932 0.6933
0.6746 0.6773 0.3218
0.8254 0.1773 0.8218
0.8466 0.1932 0.1933
0.9118 0.7097 0.0011
```

Output
The value obtained for the uncorrected formation energy is -941.0 meV/atom. The calculation puts the calculated volume at 541.9 Å³ per cell. The calculation puts the excess energy over the best structure of this formula in the dataset at 104 meV per atom. The calculation puts the size of the total moment at 0.00 Bohr magnetons per cell.

=====

Q: Number 2 is which compound?
A: SmY2In2